Below is crystalline LiZn3Cu2 at its relaxed geometry, with properties calculated at the PBE level.

Summary:
For the energy relative to the lowest polymorph listed for this composition, the calculation gives 0 meV per atom. Its theoretical density is 6.89 g cm⁻³. As for the density of states at the Fermi level: 4.4 states/eV/cell. Its raw total energy is -57.6 eV per cell. The magnetic moment is 0.0 μB per cell.

a = 6.589 Å, b = 7.302 Å, c = 6.754 Å
α = 90.00°, β = 101.41°, γ = 90.00°
Space group C2/c (No. 15)
Inequivalent atoms, fractional coordinates:
Li (0.000, 0.088, 0.250) x4
Zn (0.000, 0.419, 0.250) x4
Zn (0.241, 0.082, 0.995) x8
Cu (0.125, 0.245, 0.624) x8